No. 1
DFT (PBE) results for a relaxed structure of Ca3ZrP.

Results
E_form: 0.0140 eV/atom
raw total energy: -3.98 eV per atom
relative energy among the computed polymorphs: 0.00 eV/f.u.
M_tot: 4.726 μB per formula unit

Lattice parameters (Å, degrees): 5.5132 5.5132 5.5132 90.00 90.00 90.00
With the nearest neighbours (Å) after each atom.
Element x y z (fractional)
P  0.0000  0.0000  0.0000  6 Ca 2.76
Ca  0.0000  0.5000  0.0000  2 P 2.76
Ca  0.0000  0.0000  0.5000  2 P 2.76
Ca  0.5000  0.0000  0.0000  2 P 2.76
Zr  0.5000  0.5000  0.5000  12 Ca 3.90

No. 2
DFT (PBE) results for a relaxed structure of Ca5ZrP4.

Results
E_form: -0.9881 eV/atom
raw total energy: -5.01 eV per atom
M_tot: 0.000 μB per formula unit

Lattice parameters (Å, degrees): 4.0582 7.9729 8.9200 101.38 103.15 90.00
With the nearest neighbours (Å) after each atom.
Element x y z (fractional)
Ca  0.8402  0.6837  0.6804  3 P 2.76-2.80
Ca  0.8290  0.1498  0.6579  4 P 2.78-2.90
Ca  0.1710  0.8502  0.3421  4 P 2.78-2.90
Ca  0.5000  0.5000  0.0000  4 P 2.91
Ca  0.1598  0.3163  0.3196  3 P 2.76-2.80
Zr  0.5000  0.0000  0.0000  6 P 2.70-2.79
P  0.3415  0.9187  0.6829  1 Zr 2.70, 5 Ca 2.76-2.90
P  0.0047  0.7630  0.0093  2 Zr 2.79, 4 Ca 2.80-2.91
P  0.6585  0.0813  0.3171  1 Zr 2.70, 5 Ca 2.76-2.90
P  0.9953  0.2370  0.9907  2 Zr 2.79, 4 Ca 2.80-2.91

No. 3
DFT (PBE) results for a relaxed structure of Ca2ZrP.

Results
E_form: -0.1500 eV/atom
raw total energy: -4.64 eV per atom
M_tot: 0.870 μB per formula unit

Lattice parameters (Å, degrees): 9.8733 9.8733 7.4350 48.40 48.40 90.00
With the nearest neighbours (Å) after each atom.
Element x y z (fractional)
P  0.5000  0.5000  0.0000  2 Zr 2.56, 4 Ca 2.83
P  0.2500  0.7500  0.5000  2 Zr 2.56, 4 Ca 2.83
Ca  0.5004  0.1250  0.2500  2 P 2.83
Ca  0.2496  0.6250  0.2500  2 P 2.83
Ca  0.3750  0.4996  0.7500  2 P 2.83
Ca  0.8750  0.7504  0.7500  2 P 2.83
Zr  0.0000  0.0000  0.0000  2 P 2.56
Zr  0.7500  0.2500  0.5000  2 P 2.56

No. 4
DFT (PBE) results for a relaxed structure of Ca4Pa.

Results
E_form: 1.0648 eV/atom
raw total energy: -2.44 eV per atom
M_tot: 2.164 μB per formula unit

Lattice parameters (Å, degrees): 5.9704 5.9704 5.9704 90.00 90.00 90.00
With the nearest neighbours (Å) after each atom.
Element x y z (fractional)
Ca  0.0000  0.0000  0.0000  12 Ca 4.22
Ca  0.5000  0.0000  0.5000  2 Pa 2.99
Ca  0.0000  0.5000  0.5000  2 Pa 2.99
Ca  0.5000  0.5000  0.0000  2 Pa 2.99
Pa  0.5000  0.5000  0.5000  6 Ca 2.99

No. 5
DFT (PBE) results for a relaxed structure of CaPaSnPb.

Results
E_form: -0.1232 eV/atom
raw total energy: -4.93 eV per atom
M_tot: 0.997 μB per formula unit

Lattice parameters (Å, degrees): 5.4250 5.4250 5.4250 60.00 60.00 60.00
With the nearest neighbours (Å) after each atom.
Element x y z (fractional)
Pb  0.7500  0.7500  0.7500  4 Pa 3.32, 4 Ca 3.32
Ca  0.5000  0.5000  0.5000  4 Pb 3.32, 4 Sn 3.32
Pa  0.0000  0.0000  0.0000  4 Sn 3.32, 4 Pb 3.32
Sn  0.2500  0.2500  0.2500  4 Ca 3.32, 4 Pa 3.32

No. 6
DFT (PBE) results for a relaxed structure of CaPaTlPb.

Results
E_form: 0.0176 eV/atom
raw total energy: -4.38 eV per atom
M_tot: 1.184 μB per formula unit

Lattice parameters (Å, degrees): 5.4554 5.4554 5.4554 60.00 60.00 60.00
With the nearest neighbours (Å) after each atom.
Element x y z (fractional)
Pb  0.5000  0.5000  0.5000  4 Pa 3.34, 4 Ca 3.34
Tl  0.0000  0.0000  0.0000  4 Ca 3.34, 4 Pa 3.34
Pa  0.7500  0.7500  0.7500  4 Pb 3.34, 4 Tl 3.34
Ca  0.2500  0.2500  0.2500  4 Tl 3.34, 4 Pb 3.34

Copy entry 2 word for word.
DFT (PBE) results for a relaxed structure of Ca5ZrP4.

Results
E_form: -0.9881 eV/atom
raw total energy: -5.01 eV per atom
M_tot: 0.000 μB per formula unit

Lattice parameters (Å, degrees): 4.0582 7.9729 8.9200 101.38 103.15 90.00
With the nearest neighbours (Å) after each atom.
Element x y z (fractional)
Ca  0.8402  0.6837  0.6804  3 P 2.76-2.80
Ca  0.8290  0.1498  0.6579  4 P 2.78-2.90
Ca  0.1710  0.8502  0.3421  4 P 2.78-2.90
Ca  0.5000  0.5000  0.0000  4 P 2.91
Ca  0.1598  0.3163  0.3196  3 P 2.76-2.80
Zr  0.5000  0.0000  0.0000  6 P 2.70-2.79
P  0.3415  0.9187  0.6829  1 Zr 2.70, 5 Ca 2.76-2.90
P  0.0047  0.7630  0.0093  2 Zr 2.79, 4 Ca 2.80-2.91
P  0.6585  0.0813  0.3171  1 Zr 2.70, 5 Ca 2.76-2.90
P  0.9953  0.2370  0.9907  2 Zr 2.79, 4 Ca 2.80-2.91

Q: Which value of M_tot does entry 6 give?
A: 1.184 μB per formula unit